Computed, not measured: a geometry-optimized KNb2Br structure at the PBE-GGA level of DFT.

Computed properties:
As for the formation energy (no corrections): 936 meV per atom. The energy above the most stable polymorph in this dataset comes out at 0.00 eV per formula unit.

Unit cell a=4.8239 b=4.8239 c=20.5882 alpha=90.00 beta=90.00 gamma=90.00
With the nearest neighbours (Å) after each atom.
Space group I4_1/amd (No. 141, origin choice 2)
Unique sites:
K 0.0000 0.2500 0.3750 x4  4 Br 3.41, 8 Nb 3.73
Nb 0.0000 0.0000 0.0000 x8  2 Nb 2.41
Br 0.0000 0.2500 0.8750 x4  4 Nb 2.84

=====

Computed, not measured: a geometry-optimized LaScOF2 structure at the PBE-GGA level of DFT.

Computed properties:
As for the formation energy (no corrections): -2806 meV per atom. The energy above the most stable polymorph in this dataset comes out at 0.00 eV per formula unit.

Unit cell a=4.2555 b=4.2555 c=4.1659 alpha=90.00 beta=90.00 gamma=90.00
With the nearest neighbours (Å) after each atom.
Space group P4/mmm (No. 123)
Unique sites:
La 0.0000 0.0000 0.0000 x1  8 F 2.98, 4 O 3.01
Sc 0.5000 0.5000 0.5000 x1  2 O 2.08, 4 F 2.13
O 0.5000 0.5000 0.0000 x1  2 Sc 2.08
F 0.0000 0.5000 0.5000 x2  2 Sc 2.13

=====

Computed, not measured: a geometry-optimized CrP2Ir structure at the PBE-GGA level of DFT.

Computed properties:
The formation enthalpy at 0 K comes out at 418 meV per atom. The energy above the most stable polymorph in this dataset comes out at 3.00 eV per formula unit.

Unit cell a=6.0593 b=6.0593 c=6.0593 alpha=90.00 beta=90.00 gamma=90.00
With the nearest neighbours (Å) after each atom.
Space group F-43m (No. 216)
Unique sites:
Cr 0.0000 0.0000 0.0000 x4  4 Ir 2.62, 4 P 2.62
P 0.0000 0.0000 0.5000 x4  4 Ir 2.62, 4 P 2.62
P 0.2500 0.2500 0.7500 x4  4 Cr 2.62, 4 P 2.62
Ir 0.2500 0.2500 0.2500 x4  4 Cr 2.62, 4 P 2.62

=====

Computed, not measured: a geometry-optimized TiVMoPd structure at the PBE-GGA level of DFT.

Computed properties:
The formation enthalpy at 0 K comes out at -213 meV per atom. The energy above the most stable polymorph in this dataset comes out at 0.00 eV per formula unit.

Unit cell a=6.2185 b=6.2185 c=6.2185 alpha=90.00 beta=90.00 gamma=90.00
With the nearest neighbours (Å) after each atom.
Space group F-43m (No. 216)
Unique sites:
Ti 0.0000 0.0000 0.0000 x4  4 Pd 2.69, 4 Mo 2.69
V 0.0000 0.0000 0.5000 x4  4 Mo 2.69, 4 Pd 2.69
Mo 0.2500 0.2500 0.2500 x4  4 Ti 2.69, 4 V 2.69
Pd 0.2500 0.2500 0.7500 x4  4 Ti 2.69, 4 V 2.69

=====

Computed, not measured: a geometry-optimized Ir2RhBr structure at the PBE-GGA level of DFT.

Computed properties:
As for the formation energy (no corrections): 607 meV per atom. The energy above the most stable polymorph in this dataset comes out at 0.58 eV per formula unit.

Unit cell a=2.8509 b=2.8509 c=7.9772 alpha=90.00 beta=90.00 gamma=90.00
With the nearest neighbours (Å) after each atom.
Space group P4mm (No. 99)
Unique sites:
Ir 0.0000 0.0000 0.0000 x1  8 Ir 2.68-2.85
Ir 0.5000 0.5000 0.2214 x1  8 Ir 2.68-2.85, 4 Rh 2.72
Rh 0.0000 0.0000 0.4509 x1  4 Ir 2.72, 4 Rh 2.85, 4 Br 2.89
Br 0.5000 0.5000 0.7099 x1  4 Br 2.85, 4 Rh 2.89, 4 Ir 3.07

=====

Computed, not measured: a geometry-optimized Sr2Li3OsO6 structure at the PBE-GGA level of DFT.

Computed properties:
As for the formation energy (no corrections): -1940 meV per atom.

Unit cell a=5.7338 b=10.8702 c=5.2561 alpha=90.00 beta=108.06 gamma=90.00
With the nearest neighbours (Å) after each atom.
Space group C2/m (No. 12)
Unique sites:
Sr 0.0000 0.1715 0.0000 x4  6 O 2.48-2.58
Li 0.0000 0.0000 0.5000 x2  6 O 2.32-2.42
Li 0.0000 0.3918 0.5000 x4  4 O 1.99-2.04
Os 0.0000 0.5000 0.0000 x2  6 O 2.02-2.03
O 0.2005 0.3687 0.2434 x8  1 Os 2.02, 1 Li 2.04
O 0.2270 0.5000 0.7717 x4  2 Li 1.99, 1 Os 2.03

=====

Computed, not measured: a geometry-optimized MnCd3W structure at the PBE-GGA level of DFT.

Computed properties:
The formation enthalpy at 0 K comes out at 2056 meV per atom. The energy above the most stable polymorph in this dataset comes out at 2.21 eV per formula unit.

Unit cell a=5.2245 b=5.2245 c=5.2245 alpha=90.00 beta=90.00 gamma=90.00
With the nearest neighbours (Å) after each atom.
Space group Pm-3m (No. 221)
Unique sites:
Mn 0.0000 0.0000 0.0000 x1  12 Cd 3.69
Cd 0.0000 0.5000 0.5000 x3  2 W 2.61
W 0.5000 0.5000 0.5000 x1  6 Cd 2.61

=====

Computed, not measured: a geometry-optimized NdSm2S structure at the PBE-GGA level of DFT.

Computed properties:
As for the formation energy (no corrections): -929 meV per atom. The energy above the most stable polymorph in this dataset comes out at 0.00 eV per formula unit.

Unit cell a=3.8403 b=3.8403 c=28.4778 alpha=90.00 beta=90.00 gamma=120.00
With the nearest neighbours (Å) after each atom.
Space group R3m (No. 160, hexagonal axes)
Unique sites:
Nd 0.0000 0.0000 0.0000 x3  6 Sm 3.76, 6 Nd 3.84
Sm 0.0000 0.0000 0.2265 x3  3 S 2.80
Sm 0.0000 0.0000 0.4400 x3  3 S 2.79
S 0.0000 0.0000 0.8331 x3  6 Sm 2.79-2.80

=====

Computed, not measured: a geometry-optimized CsTmTiS4 structure at the PBE-GGA level of DFT.

Computed properties:
As for the formation energy (no corrections): -1601 meV per atom.

Unit cell a=6.5729 b=6.8783 c=9.5648 alpha=90.00 beta=109.05 gamma=90.00
With the nearest neighbours (Å) after each atom.
Space group P2_1/m (No. 11)
Unique sites:
Cs 0.2348 0.2500 0.4422 x2  4 S 3.38-3.75
Tm 0.2955 0.2500 0.9578 x2  6 S 2.74-2.79
Ti 0.2581 0.7500 0.1540 x2  4 S 2.20-2.30
S 0.0335 0.7500 0.9253 x2  1 Ti 2.20
S 0.0521 0.7500 0.3010 x2  1 Ti 2.25
S 0.4988 0.0001 0.8157 x4  1 Ti 2.30

=====

Computed, not measured: a geometry-optimized ZrAuO2F structure at the PBE-GGA level of DFT.

Computed properties:
As for the formation energy (no corrections): -309 meV per atom.

Unit cell a=4.4013 b=4.4013 c=3.8089 alpha=90.00 beta=90.00 gamma=90.00
With the nearest neighbours (Å) after each atom.
Space group P4/mmm (No. 123)
Unique sites:
Zr 0.0000 0.0000 0.0000 x1  2 F 1.90
Au 0.5000 0.5000 0.0000 x1  8 O 2.91, 4 Zr 3.11
O 0.0000 0.5000 0.5000 x2  2 F 2.20
F 0.0000 0.0000 0.5000 x1  2 Zr 1.90

=====

Computed, not measured: a geometry-optimized TaAl2As structure at the PBE-GGA level of DFT.

Computed properties:
The formation enthalpy at 0 K comes out at 17 meV per atom.

Unit cell a=2.9162 b=2.9162 c=8.2616 alpha=90.00 beta=90.00 gamma=90.00
With the nearest neighbours (Å) after each atom.
Space group P4mm (No. 99)
Unique sites:
Ta 0.0000 0.0000 0.0000 x1  4 As 2.85, 4 Al 2.85, 4 Ta 2.92
Al 0.0000 0.0000 0.4834 x1  8 Al 2.89-2.92, 4 As 3.09
Al 0.5000 0.5000 0.2385 x1  4 Ta 2.85, 8 Al 2.89-2.92
As 0.5000 0.5000 0.7626 x1  4 Ta 2.85, 4 As 2.92, 4 Al 3.09

=====

Computed, not measured: a geometry-optimized SrSeBrN2 structure at the PBE-GGA level of DFT.

Computed properties:
As for the formation energy (no corrections): 1599 meV per atom. The energy above the most stable polymorph in this dataset comes out at 2.44 eV per formula unit.

Unit cell a=4.8839 b=4.8839 c=6.3706 alpha=90.00 beta=90.00 gamma=90.00
With the nearest neighbours (Å) after each atom.
Space group P4/mmm (No. 123)
Unique sites:
Sr 0.0000 0.0000 0.0000 x1  4 N 2.44
Se 0.0000 0.0000 0.5000 x1  2 Sr 3.19, 4 Br 3.45
Br 0.5000 0.5000 0.5000 x1  4 Se 3.45
N 0.0000 0.5000 0.0000 x2  2 Sr 2.44

=====

Computed, not measured: a geometry-optimized Sm3In3Ag2 structure at the PBE-GGA level of DFT.

Computed properties:
The formation enthalpy at 0 K comes out at -392 meV per atom.

Unit cell a=7.8768 b=7.8768 c=3.8997 alpha=90.00 beta=90.00 gamma=120.00
With the nearest neighbours (Å) after each atom.
Space group P-62m (No. 189)
Unique sites:
Sm 0.0000 0.5995 0.0000 x3  4 Ag 3.10, 6 In 3.37-3.45
In 0.0000 0.2377 0.5000 x3  2 Ag 3.07, 2 In 3.24, 4 Sm 3.37
Ag 0.3333 0.6667 0.5000 x2  3 In 3.07, 6 Sm 3.10

=====

Computed, not measured: a geometry-optimized BaAg2Pb6 structure at the PBE-GGA level of DFT.

Computed properties:
The formation enthalpy at 0 K comes out at 159 meV per atom.

Unit cell a=13.7075 b=13.7075 c=13.7075 alpha=90.00 beta=90.00 gamma=90.00
With the nearest neighbours (Å) after each atom.
Space group Fd-3m (No. 227, origin choice 2)
Unique sites:
Ba 0.1250 0.1250 0.1250 x8  6 Pb 3.56
Ag 0.0000 0.0000 0.5000 x16  6 Pb 2.89
Pb 0.1155 0.3750 0.8750 x48  2 Ag 2.89

=====

Computed, not measured: a geometry-optimized ScTl2BiTe4 structure at the PBE-GGA level of DFT.

Computed properties:
As for the formation energy (no corrections): -610 meV per atom.

Unit cell a=7.7069 b=4.4161 c=8.4397 alpha=90.00 beta=107.38 gamma=90.00
With the nearest neighbours (Å) after each atom.
Space group P2/m (No. 10)
Unique sites:
Sc 0.0000 0.0000 0.0000 x1  6 Te 2.98-3.00
Tl 0.0000 0.5000 0.5000 x1  6 Te 3.40
Tl 0.5000 0.0000 0.5000 x1  6 Te 3.53-3.54
Bi 0.5000 0.5000 0.0000 x1  6 Te 3.14
Te 0.2206 0.5000 0.2058 x2  2 Sc 3.00, 1 Bi 3.14
Te 0.2449 0.0000 0.7857 x2  1 Sc 2.98, 2 Bi 3.14

=====

Computed, not measured: a geometry-optimized Ti2V5Mo2 structure at the PBE-GGA level of DFT.

Computed properties:
The formation enthalpy at 0 K comes out at -29 meV per atom. The energy above the most stable polymorph in this dataset comes out at 0.00 eV per formula unit.

Unit cell a=3.0973 b=5.0796 c=9.2143 alpha=99.20 beta=99.61 gamma=107.58
With the nearest neighbours (Å) after each atom.
Space group P-1 (No. 2)
Unique sites:
Ti 0.1633 0.1646 0.1617 x2  7 V 2.72-2.85, 2 Mo 2.73, 1 Ti 3.01
V 0.0501 0.3777 0.7201 x2  4 V 2.57-2.70, 2 Mo 2.62-2.63, 2 Ti 2.72
V 0.3734 0.6844 0.0631 x2  4 V 2.44-2.58
V 0.5000 0.5000 0.5000 x1  4 Mo 2.65-2.66, 4 V 2.70
Mo 0.2768 0.9428 0.6098 x2  4 V 2.62-2.66, 2 Mo 2.68, 2 Ti 2.73

=====

Computed, not measured: a geometry-optimized PrTiCd11 structure at the PBE-GGA level of DFT.

Computed properties:
The formation enthalpy at 0 K comes out at -89 meV per atom.

Unit cell a=5.9885 b=14.0225 c=7.6637 alpha=90.00 beta=112.78 gamma=90.00
With the nearest neighbours (Å) after each atom.
Space group C2/m (No. 12)
Unique sites:
Pr 0.0000 0.0000 0.0000 x2  18 Cd 3.45-3.83, 2 Ti 3.84
Ti 0.0000 0.5000 0.5000 x2  10 Cd 2.88-2.99
Cd 0.0000 0.0000 0.5000 x2  8 Cd 2.94-3.05, 2 Ti 2.99
Cd 0.1002 0.3930 0.2174 x8  1 Ti 2.88, 7 Cd 2.91-3.17
Cd 0.1921 0.1704 0.3520 x8  1 Ti 2.96, 7 Cd 3.05-3.27
Cd 0.2500 0.2500 0.0000 x4  10 Cd 2.91-3.16

=====

Computed, not measured: a geometry-optimized V2GaCu structure at the PBE-GGA level of DFT.

Computed properties:
The formation enthalpy at 0 K comes out at 359 meV per atom.

Unit cell a=6.8441 b=6.8441 c=4.9226 alpha=90.00 beta=90.00 gamma=90.00
With the nearest neighbours (Å) after each atom.
Space group I-42d (No. 122)
Unique sites:
V 0.2432 0.2500 0.1250 x8  2 V 2.46, 2 Cu 2.47, 2 Ga 2.53
Ga 0.0000 0.0000 0.5000 x4  2 Cu 2.46, 4 V 2.53
Cu 0.0000 0.0000 0.0000 x4  2 Ga 2.46, 4 V 2.47

=====

Computed, not measured: a geometry-optimized PmTa4Te8 structure at the PBE-GGA level of DFT.

Computed properties:
As for the formation energy (no corrections): -350 meV per atom.

Unit cell a=7.6197 b=7.6197 c=22.9176 alpha=90.00 beta=90.00 gamma=120.00
With the nearest neighbours (Å) after each atom.
Space group R-3m (No. 166, hexagonal axes)
Unique sites:
Pm 0.0000 0.0000 0.0000 x3  6 Te 3.06
Ta 0.0000 0.0000 0.5000 x3  6 Te 2.77
Ta 0.0000 0.5000 0.5000 x9  6 Te 2.83-2.85
Te 0.0000 0.0000 0.2441 x6  3 Ta 2.83
Te 0.0105 0.5053 0.2439 x18  3 Ta 2.77-2.85, 1 Pm 3.06

=====

Computed, not measured: a geometry-optimized Na2Sr6Zn structure at the PBE-GGA level of DFT.

Computed properties:
The formation enthalpy at 0 K comes out at 18 meV per atom.

Unit cell a=7.6145 b=9.4129 c=13.8678 alpha=90.00 beta=121.16 gamma=90.00
With the nearest neighbours (Å) after each atom.
Space group P2_1/c (No. 14)
Unique sites:
Na 0.1523 0.1108 0.2504 x4  7 Sr 3.63-3.97
Sr 0.0923 0.1824 0.9526 x4  1 Zn 3.22
Sr 0.3140 0.6853 0.9536 x4  1 Zn 3.28
Sr 0.3840 0.0276 0.7549 x4  1 Zn 3.23
Zn 0.0000 0.0000 0.5000 x2  6 Sr 3.22-3.28